[1]
Entry from Alexandria: a geometry-optimized CdIn5Hg11 structure (PBE).

Computed properties:
- formation energy from the elements (eV per atom) = 0.021
- D(E_F) (states/eV per cell) = 6.2
- uncorrected energy (eV/atom) = -1.03

Unit cell a=6.2074 b=8.9171 c=8.9171 alpha=110.24 beta=93.18 gamma=93.18
Element x y z (fractional)
In 0.6367 0.0107 0.3338
In 0.3633 0.6662 0.9893
In 0.3633 0.9893 0.6662
In 0.6367 0.3338 0.0107
In 0.0000 0.5000 0.5000
Hg 0.1283 0.3568 0.0962
Hg 0.1283 0.0962 0.3568
Hg 0.8717 0.6432 0.9038
Hg 0.7513 0.2732 0.6686
Hg 0.5156 0.3525 0.3525
Hg 0.8717 0.9038 0.6432
Hg 0.5000 0.0000 0.0000
Hg 0.7513 0.6686 0.2732
Hg 0.2487 0.3314 0.7268
Hg 0.2487 0.7268 0.3314
Hg 0.4844 0.6475 0.6475
Cd 0.0000 0.0000 0.0000

=====

[2]
Entry from Alexandria: a geometry-optimized CrNiAsSe2 structure (PBE).

Computed properties:
- D(E_F) (states/eV per cell) = 5.8
- formation energy without anion corrections (eV per atom) = 0.862
- uncorrected energy (eV/atom) = -4.54

Unit cell a=4.7558 b=4.7558 c=4.3735 alpha=90.00 beta=90.00 gamma=90.00
Site moments in Bohr magnetons follow the coordinates.
Element x y z (fractional)
Se 0.0000 0.5000 0.0000  0.04
Se 0.5000 0.0000 0.0000  0.04
Cr 0.5000 0.5000 0.5000  0.16
Ni 0.0000 0.0000 0.0000  -0.02
As 0.0000 0.0000 0.5000  -0.08

=====

[3]
Entry from Alexandria: a geometry-optimized AlHgBr2 structure (PBE).

Computed properties:
- D(E_F) (states/eV per cell) = 2.0
- formation energy without anion corrections (eV per atom) = -0.294
- uncorrected energy (eV/atom) = -2.14

Unit cell a=4.0521 b=4.0521 c=11.1158 alpha=90.00 beta=90.00 gamma=127.50
Element x y z (fractional)
Br 0.0000 0.0000 0.9175
Br 0.0000 0.0000 0.5825
Al 0.5000 0.5000 0.7500
Hg 0.5000 0.5000 0.2500

=====

[4]
Entry from Alexandria: a geometry-optimized PuMnCo structure (PBE).

Computed properties:
- formation energy from the elements (eV per atom) = 0.119
- D(E_F) (states/eV per cell) = 6.3
- uncorrected energy (eV/atom) = -10.08

Unit cell a=2.9829 b=2.9829 c=5.7987 alpha=104.90 beta=104.90 gamma=90.00
Site moments in Bohr magnetons follow the coordinates.
Element x y z (fractional)
Pu 0.9541 0.9541 0.9083  5.10
Co 0.6362 0.6362 0.2724  -1.41
Mn 0.2597 0.2597 0.5193  -3.11